[1]
A geometry-optimized DyGeS2 structure. Source: Alexandria via LeMat-Bulk, functional PBE-GGA.

The value obtained for the offset from the most stable computed form is 622 meV/atom. For the total magnetization, the calculation gives 0.000 μB per formula unit. The calculation puts the uncorrected formation energy at -0.458 eV/atom.

Cell: 8.399 8.399 8.399 Å, 25.48 25.48 25.48°
Element x y z (fractional)
Dy 0.000 0.000 0.000
Ge 0.500 0.500 0.500
S 0.107 0.107 0.107
S 0.893 0.893 0.893

=====

[2]
A geometry-optimized Dy5GeS4 structure. Source: Alexandria via LeMat-Bulk, functional PBE-GGA.

For the total magnetization, the calculation gives 0.000 μB per formula unit. The calculation puts the uncorrected formation energy at -1.817 eV/atom.

Cell: 6.868 6.868 6.868 Å, 99.54 99.54 131.96°
Element x y z (fractional)
Dy 0.000 0.000 0.000
Dy 0.200 0.400 0.599
Dy 0.400 0.800 0.200
Dy 0.600 0.200 0.800
Dy 0.800 0.600 0.401
Ge 0.500 0.500 0.000
S 0.101 0.699 0.799
S 0.301 0.101 0.402
S 0.699 0.899 0.598
S 0.899 0.301 0.201

=====

[3]
A geometry-optimized Dy8GeS6 structure. Source: Alexandria via LeMat-Bulk, functional PBE-GGA.

For the total magnetization, the calculation gives 0.000 μB per formula unit. The calculation puts the uncorrected formation energy at -1.513 eV/atom.

Cell: 10.091 10.091 3.936 Å, 90.00 90.00 120.00°
Element x y z (fractional)
Dy 0.033 0.327 0.255
Dy 0.294 0.967 0.255
Dy 0.327 0.294 0.745
Dy 0.333 0.667 0.748
Dy 0.667 0.333 0.252
Dy 0.673 0.706 0.255
Dy 0.706 0.033 0.745
Dy 0.967 0.673 0.745
Ge 0.000 0.000 0.500
S 0.134 0.652 0.249
S 0.348 0.482 0.249
S 0.482 0.134 0.751
S 0.518 0.866 0.249
S 0.652 0.518 0.751
S 0.866 0.348 0.751